1.
Entry from Alexandria: an optimized crystal structure of BaSi2Ni (PBE-GGA).

CIF file:
```
data_BaSi2Ni
_chemical_formula_sum 'Ba2 Si4 Ni2'
_cell_length_a 5.532
_cell_length_b 10.015
_cell_length_c 2.998
_cell_angle_alpha 90.00
_cell_angle_beta 90.00
_cell_angle_gamma 90.00
_symmetry_space_group_name_H-M 'P 1'
_symmetry_Int_Tables_number 1
loop_
_symmetry_equiv_pos_as_xyz
'x,y,z'
loop_
_atom_site_label
_atom_site_type_symbol
_atom_site_fract_x
_atom_site_fract_y
_atom_site_fract_z
Ba1 Ba 0.000 0.000 0.000
Ba2 Ba 0.500 0.500 0.000
Si1 Si 0.250 0.250 0.500
Si2 Si 0.250 0.750 0.500
Si3 Si 0.750 0.250 0.500
Si4 Si 0.750 0.750 0.500
Ni1 Ni 0.000 0.500 0.000
Ni2 Ni 0.500 0.000 0.000
```

Output
formation energy (no corrections)	0.60	eV/atom

2.
Entry from Alexandria: an optimized crystal structure of LiTa2Re (PBE-GGA).

CIF file:
```
data_LiTa2Re
_chemical_formula_sum 'Li3 Ta6 Re3'
_cell_length_a 2.819
_cell_length_b 2.819
_cell_length_c 30.135
_cell_angle_alpha 90.00
_cell_angle_beta 90.00
_cell_angle_gamma 120.00
_symmetry_space_group_name_H-M 'P 1'
_symmetry_Int_Tables_number 1
loop_
_symmetry_equiv_pos_as_xyz
'x,y,z'
loop_
_atom_site_label
_atom_site_type_symbol
_atom_site_fract_x
_atom_site_fract_y
_atom_site_fract_z
Li1 Li 0.000 0.000 0.000
Li2 Li 0.333 0.667 0.667
Li3 Li 0.667 0.333 0.333
Ta1 Ta 0.000 0.000 0.247
Ta2 Ta 0.000 0.000 0.753
Ta3 Ta 0.333 0.667 0.420
Ta4 Ta 0.333 0.667 0.913
Ta5 Ta 0.667 0.333 0.087
Ta6 Ta 0.667 0.333 0.580
Re1 Re 0.000 0.000 0.500
Re2 Re 0.333 0.667 0.167
Re3 Re 0.667 0.333 0.833
```

Output
energy relative to the elements	0.34	eV per atom